(a)
# HfGa2F | Alexandria | PBE-GGA | relaxed
# * total magnetization: 0.00 μB per atom
data_HfGa2F
_chemical_formula_sum 'Hf4 Ga8 F4'
_symmetry_space_group_name_H-M 'F m -3 m'
_symmetry_Int_Tables_number 225
_symmetry_space_group_name_Hall '-F 4 2 3'
_cell_length_a 6.556
_cell_length_b 6.556
_cell_length_c 6.556
_cell_angle_alpha 90.00
_cell_angle_beta 90.00
_cell_angle_gamma 90.00
loop_
_atom_site_label
_atom_site_fract_x
_atom_site_fract_y
_atom_site_fract_z
Hf1 0.000 0.000 0.000
Ga1 0.250 0.250 0.250
F1 0.000 0.000 0.500


(b)
# HfGa2F | Alexandria | PBE-GGA | relaxed
# * total magnetization: 0.00 μB per atom
data_HfGa2F
_chemical_formula_sum 'Hf4 Ga8 F4'
_symmetry_space_group_name_H-M 'I -4 2 d'
_symmetry_Int_Tables_number 122
_symmetry_space_group_name_Hall 'I -4 2bw'
_cell_length_a 8.153
_cell_length_b 8.153
_cell_length_c 4.317
_cell_angle_alpha 90.00
_cell_angle_beta 90.00
_cell_angle_gamma 90.00
loop_
_atom_site_label
_atom_site_fract_x
_atom_site_fract_y
_atom_site_fract_z
Hf1 0.000 0.000 0.000
Ga1 0.179 0.250 0.625
F1 0.000 0.000 0.500


According to the calculations, the structures order from most to least stable as (b), (a).